No. 1
This record from Alexandria via LeMat-Bulk describes ZnSbTe2N at its PBEsol-relaxed geometry. The functional is meta-GGA SCAN.

CIF file:
```
data_ZnSbTe2N
_chemical_formula_sum 'Zn1 Sb1 Te2 N1'
_space_group_name_H-M_alt 'P 4/m m m'
_space_group_IT_number 123
_space_group_name_Hall '-P 4 2'
_cell_length_a 5.7765
_cell_length_b 5.7765
_cell_length_c 3.8558
_cell_angle_alpha 90.00
_cell_angle_beta 90.00
_cell_angle_gamma 90.00
loop_
_atom_site_label
_atom_site_type_symbol
_atom_site_fract_x
_atom_site_fract_y
_atom_site_fract_z
Zn1 Zn 0.0000 0.0000 0.0000
Sb1 Sb 0.5000 0.5000 0.5000
Te1 Te 0.0000 0.5000 0.5000
N1 N 0.5000 0.5000 0.0000
```

Properties
* uncorrected formation energy: 0.943 eV/atom
* total DFT energy (no corrections): -25.971 eV/atom
* spin magnetization: 0.001 μB per cell

---

No. 2
This record from Alexandria via LeMat-Bulk describes BaCa2Sc at its PBEsol-relaxed geometry. The functional is meta-GGA SCAN.

CIF file:
```
data_BaCa2Sc
_chemical_formula_sum 'Ba1 Ca2 Sc1'
_space_group_name_H-M_alt 'P m m m'
_space_group_IT_number 47
_cell_length_a 4.1881
_cell_length_b 5.9526
_cell_length_c 6.0032
_cell_angle_alpha 90.00
_cell_angle_beta 90.00
_cell_angle_gamma 90.00
loop_
_space_group_symop_operation_xyz
'x,y,z'
'-x,-y,-z'
'-x,-y,z'
'x,y,-z'
'x,-y,-z'
'-x,y,z'
'-x,y,-z'
'x,-y,z'
loop_
_atom_site_label
_atom_site_type_symbol
_atom_site_fract_x
_atom_site_fract_y
_atom_site_fract_z
Ba1 Ba 0.0000 0.0000 0.0000
Ca1 Ca 0.0000 0.5000 0.5000
Ca2 Ca 0.5000 0.0000 0.5000
Sc1 Sc 0.5000 0.5000 0.0000
```

Properties
* energy relative to the elements: 1.192 eV/f.u.
* total DFT energy (no corrections): -17.981 eV/atom
* spin magnetization: 0.859 μB per cell

---

No. 3
This record from Alexandria via LeMat-Bulk describes CaY2Mo at its PBEsol-relaxed geometry. The functional is meta-GGA SCAN.

CIF file:
```
data_CaY2Mo
_chemical_formula_sum 'Ca2 Y4 Mo2'
_space_group_name_H-M_alt 'I 4/m m m'
_space_group_IT_number 139
_space_group_name_Hall '-I 4 2'
_cell_length_a 5.1568
_cell_length_b 5.1568
_cell_length_c 7.3193
_cell_angle_alpha 90.00
_cell_angle_beta 90.00
_cell_angle_gamma 90.00
loop_
_atom_site_label
_atom_site_type_symbol
_atom_site_fract_x
_atom_site_fract_y
_atom_site_fract_z
Ca1 Ca 0.0000 0.0000 0.0000
Y1 Y 0.0000 0.5000 0.2500
Mo1 Mo 0.0000 0.0000 0.5000
```

Properties
* energy relative to the elements: 2.056 eV/f.u.
* total DFT energy (no corrections): -24.545 eV/atom
* spin magnetization: 0.000 μB per cell

---

No. 4
This record from Alexandria via LeMat-Bulk describes LiFe2Hg at its PBEsol-relaxed geometry. The functional is meta-GGA SCAN.

CIF file:
```
data_LiFe2Hg
_chemical_formula_sum 'Li1 Fe2 Hg1'
_space_group_name_H-M_alt 'P 4 m m'
_space_group_IT_number 99
_cell_length_a 3.0031
_cell_length_b 3.0031
_cell_length_c 6.1866
_cell_angle_alpha 90.00
_cell_angle_beta 90.00
_cell_angle_gamma 90.00
loop_
_space_group_symop_operation_xyz
'x,y,z'
'-y,x,z'
'-x,-y,z'
'y,-x,z'
'-x,y,z'
'y,x,z'
'x,-y,z'
'-y,-x,z'
loop_
_atom_site_label
_atom_site_type_symbol
_atom_site_fract_x
_atom_site_fract_y
_atom_site_fract_z
Li1 Li 0.0000 0.0000 0.0000
Fe1 Fe 0.0000 0.0000 0.4286
Fe2 Fe 0.5000 0.5000 0.2579
Hg1 Hg 0.5000 0.5000 0.7304
```

Properties
* energy relative to the elements: 0.419 eV/f.u.
* total DFT energy (no corrections): -26.599 eV/atom
* spin magnetization: 5.456 μB per cell

---

No. 5
This record from Alexandria via LeMat-Bulk describes InSbW at its PBEsol-relaxed geometry. The functional is meta-GGA SCAN.

CIF file:
```
data_InSbW
_chemical_formula_sum 'In1 Sb1 W1'
_space_group_name_H-M_alt 'P -6 m 2'
_space_group_IT_number 187
_space_group_name_Hall 'P -6 2'
_cell_length_a 4.8662
_cell_length_b 4.8662
_cell_length_c 2.9338
_cell_angle_alpha 90.00
_cell_angle_beta 90.00
_cell_angle_gamma 120.00
loop_
_atom_site_label
_atom_site_type_symbol
_atom_site_fract_x
_atom_site_fract_y
_atom_site_fract_z
In1 In 0.0000 0.0000 0.0000
Sb1 Sb 0.3333 0.6667 0.5000
W1 W 0.6667 0.3333 0.5000
```

Properties
* uncorrected formation energy: 0.786 eV/atom
* total DFT energy (no corrections): -45.992 eV/atom
* spin magnetization: 0.000 μB per cell

---

No. 6
This record from Alexandria via LeMat-Bulk describes Tl2InBTe at its PBEsol-relaxed geometry. The functional is meta-GGA SCAN.

CIF file:
```
data_Tl2InBTe
_chemical_formula_sum 'Tl2 In1 B1 Te1'
_space_group_name_H-M_alt 'P 4/m m m'
_space_group_IT_number 123
_space_group_name_Hall '-P 4 2'
_cell_length_a 4.7989
_cell_length_b 4.7989
_cell_length_c 5.3840
_cell_angle_alpha 90.00
_cell_angle_beta 90.00
_cell_angle_gamma 90.00
loop_
_atom_site_label
_atom_site_type_symbol
_atom_site_fract_x
_atom_site_fract_y
_atom_site_fract_z
Tl1 Tl 0.0000 0.5000 0.0000
In1 In 0.0000 0.0000 0.5000
B1 B 0.5000 0.5000 0.0000
Te1 Te 0.5000 0.5000 0.5000
```

Properties
* uncorrected formation energy: 0.543 eV/atom
* total DFT energy (no corrections): -44.014 eV/atom
* spin magnetization: 0.000 μB per cell

---

No. 7
This record from Alexandria via LeMat-Bulk describes IrRhS2Cl at its PBEsol-relaxed geometry. The functional is meta-GGA SCAN.

CIF file:
```
data_IrRhS2Cl
_chemical_formula_sum 'Ir1 Rh1 S2 Cl1'
_space_group_name_H-M_alt 'P 4/m m m'
_space_group_IT_number 123
_space_group_name_Hall '-P 4 2'
_cell_length_a 4.5043
_cell_length_b 4.5043
_cell_length_c 4.8017
_cell_angle_alpha 90.00
_cell_angle_beta 90.00
_cell_angle_gamma 90.00
loop_
_atom_site_label
_atom_site_type_symbol
_atom_site_fract_x
_atom_site_fract_y
_atom_site_fract_z
Ir1 Ir 0.0000 0.0000 0.0000
Rh1 Rh 0.5000 0.5000 0.5000
S1 S 0.0000 0.5000 0.0000
Cl1 Cl 0.0000 0.0000 0.5000
```

Properties
* uncorrected formation energy: 0.803 eV/atom
* total DFT energy (no corrections): -25.618 eV/atom
* spin magnetization: 1.848 μB per cell

---

No. 8
This record from Alexandria via LeMat-Bulk describes SrCa2Mg at its PBEsol-relaxed geometry. The functional is meta-GGA SCAN.

CIF file:
```
data_SrCa2Mg
_chemical_formula_sum 'Sr2 Ca4 Mg2'
_space_group_name_H-M_alt 'I 4/m m m'
_space_group_IT_number 139
_space_group_name_Hall '-I 4 2'
_cell_length_a 5.3210
_cell_length_b 5.3210
_cell_length_c 10.6599
_cell_angle_alpha 90.00
_cell_angle_beta 90.00
_cell_angle_gamma 90.00
loop_
_atom_site_label
_atom_site_type_symbol
_atom_site_fract_x
_atom_site_fract_y
_atom_site_fract_z
Sr1 Sr 0.0000 0.0000 0.0000
Ca1 Ca 0.0000 0.5000 0.2500
Mg1 Mg 0.0000 0.0000 0.5000
```

Properties
* energy relative to the elements: 0.151 eV/f.u.
* total DFT energy (no corrections): -11.606 eV/atom
* spin magnetization: 1.427 μB per cell